An optimized crystal structure of CdHg3Se. Source: Alexandria via LeMat-Bulk, functional PBE-GGA.

```
data_CdHg3Se
_cell_length_a 5.494
_cell_length_b 5.494
_cell_length_c 5.494
_cell_angle_alpha 90.00
_cell_angle_beta 90.00
_cell_angle_gamma 90.00
_symmetry_space_group_name_H-M 'P 1'
_symmetry_Int_Tables_number 1
loop_
_symmetry_equiv_pos_as_xyz
'x,y,z'
loop_
_atom_site_label
_atom_site_type_symbol
_atom_site_fract_x
_atom_site_fract_y
_atom_site_fract_z
Hg1 Hg 0.000 0.500 0.000
Hg2 Hg 0.500 0.000 0.000
Hg3 Hg 0.000 0.000 0.500
Cd1 Cd 0.000 0.000 0.000
Se1 Se 0.500 0.500 0.500
```

Properties
* E_form (uncorrected): 0.341 eV per atom
* E_tot: -0.720 eV per atom



An optimized crystal structure of Tl12Se5S2. Source: Alexandria via LeMat-Bulk, functional PBE-GGA.

```
data_Tl12Se5S2
_cell_length_a 8.084
_cell_length_b 10.033
_cell_length_c 9.056
_cell_angle_alpha 106.41
_cell_angle_beta 90.00
_cell_angle_gamma 113.76
_symmetry_space_group_name_H-M 'P 1'
_symmetry_Int_Tables_number 1
loop_
_symmetry_equiv_pos_as_xyz
'x,y,z'
loop_
_atom_site_label
_atom_site_type_symbol
_atom_site_fract_x
_atom_site_fract_y
_atom_site_fract_z
Tl1 Tl 0.603 0.710 0.445
Tl2 Tl 0.936 0.872 0.777
Tl3 Tl 0.434 0.344 0.083
Tl4 Tl 0.107 0.710 0.445
Tl5 Tl 0.566 0.656 0.917
Tl6 Tl 0.504 0.008 0.247
Tl7 Tl 0.910 0.344 0.083
Tl8 Tl 0.893 0.290 0.555
Tl9 Tl 0.496 0.992 0.753
Tl10 Tl 0.090 0.656 0.917
Tl11 Tl 0.064 0.128 0.223
Tl12 Tl 0.397 0.290 0.555
Se1 Se 0.674 0.347 0.821
Se2 Se 0.000 0.000 0.500
Se3 Se 0.723 0.446 0.362
Se4 Se 0.277 0.554 0.638
Se5 Se 0.326 0.653 0.179
S1 S 0.739 0.000 0.000
S2 S 0.261 0.000 0.000
```

Properties
* E_form (uncorrected): -0.287 eV per atom
* E_tot: -3.133 eV per atom



An optimized crystal structure of KInF2. Source: Alexandria via LeMat-Bulk, functional PBE-GGA.

```
data_KInF2
_cell_length_a 3.708
_cell_length_b 6.527
_cell_length_c 7.895
_cell_angle_alpha 108.18
_cell_angle_beta 103.58
_cell_angle_gamma 90.00
_symmetry_space_group_name_H-M 'P 1'
_symmetry_Int_Tables_number 1
loop_
_symmetry_equiv_pos_as_xyz
'x,y,z'
loop_
_atom_site_label
_atom_site_type_symbol
_atom_site_fract_x
_atom_site_fract_y
_atom_site_fract_z
In1 In 0.042 0.919 0.071
In2 In 0.042 0.419 0.071
F1 F 0.634 0.328 0.784
F2 F 0.920 0.010 0.358
F3 F 0.451 0.510 0.358
F4 F 0.165 0.828 0.784
K1 K 0.542 0.919 0.571
K2 K 0.042 0.419 0.571
```

Properties
* E_form (uncorrected): -2.099 eV per atom
* E_tot: -3.993 eV per atom



An optimized crystal structure of La7TbPm3. Source: Alexandria via LeMat-Bulk, functional PBE-GGA.

```
data_La7TbPm3
_cell_length_a 6.073
_cell_length_b 8.703
_cell_length_c 8.703
_cell_angle_alpha 83.25
_cell_angle_beta 110.29
_cell_angle_gamma 110.29
_symmetry_space_group_name_H-M 'P 1'
_symmetry_Int_Tables_number 1
loop_
_symmetry_equiv_pos_as_xyz
'x,y,z'
loop_
_atom_site_label
_atom_site_type_symbol
_atom_site_fract_x
_atom_site_fract_y
_atom_site_fract_z
La1 La 0.697 0.404 0.988
La2 La 0.210 0.211 0.211
La3 La 0.000 0.500 0.500
La4 La 0.697 0.988 0.404
La5 La 0.790 0.789 0.789
La6 La 0.303 0.596 0.012
La7 La 0.303 0.012 0.596
Pm1 Pm 0.000 0.207 0.793
Pm2 Pm 0.500 0.000 0.000
Pm3 Pm 0.000 0.793 0.207
Tb1 Tb 0.500 0.500 0.500
```

Properties
* energy of formation from the pure elements: 2.2 eV/f.u.
* E_tot: -4.648 eV per atom